Mn2NiPBr | PBE-GGA | optimized geometry

The structure belongs to space group P4/mmm (No. 123); the cell edges are 4.849, 4.849 and 4.183 Å and the angles 90.00°, 90.00° and 90.00°. The asymmetric unit holds Mn at (0.000, 0.500, 0.000), Ni at (0.000, 0.000, 0.500), P at (0.000, 0.000, 0.000) and Br at (0.500, 0.500, 0.500).

The density comes out at 4.718 g cm⁻³. The calculation puts the total moment at 9.79 Bohr magnetons per cell. As for the energy relative to the elements, uncorrected: 0.1814 eV/atom. The value obtained for the raw total energy is -6.059 eV per atom.



MnNiPbBr2 | PBE-GGA | optimized geometry

The structure belongs to space group P4/mmm (No. 123); the cell edges are 4.825, 4.825 and 5.508 Å and the angles 90.00°, 90.00° and 90.00°. The asymmetric unit holds Mn at (0.000, 0.000, 0.000), Ni at (0.500, 0.500, 0.500), Pb at (0.500, 0.500, 0.000) and Br at (0.000, 0.500, 0.500).

The density comes out at 6.224 g cm⁻³. The calculation puts the total moment at 4.80 Bohr magnetons per cell. As for the energy relative to the elements, uncorrected: 0.3167 eV/atom. The value obtained for the raw total energy is -4.084 eV per atom.



RbMnNiBr6 | PBE-GGA | optimized geometry

The structure belongs to space group P312 (No. 149); the cell edges are 6.6773, 6.6773 and 7.7744 Å and the angles 90.00°, 90.00° and 120.00°. The asymmetric unit holds Rb at (0.0000, 0.0000, 0.0000), Mn at (0.6667, 0.3333, 0.5000), Ni at (0.3333, 0.6667, 0.5000) and Br at (0.0036, 0.3783, 0.6886).

The density comes out at 3.753 g cm⁻³. The calculation puts the total moment at 6.00 Bohr magnetons per cell. As for the energy relative to the elements, uncorrected: -0.7727 eV/atom. The value obtained for the raw total energy is -3.657 eV per atom.



Rb2MnNiBr6 | PBE-GGA | optimized geometry

The structure belongs to space group Fm-3m (No. 225); the cell edges are 10.491, 10.491 and 10.491 Å and the angles 90.00°, 90.00° and 90.00°. The asymmetric unit holds Rb at (0.250, 0.250, 0.250), Mn at (0.000, 0.000, 0.000), Ni at (0.000, 0.000, 0.500) and Br at (0.000, 0.000, 0.253).

The density comes out at 4.395 g cm⁻³. The calculation puts the total moment at 12.00 Bohr magnetons per cell. As for the energy relative to the elements, uncorrected: -1.0147 eV/atom. The value obtained for the raw total energy is -3.707 eV per atom.



RbMn2NiBr8 | PBE-GGA | optimized geometry

The structure belongs to space group R32 (No. 155, hexagonal axes); the cell edges are 6.6247, 6.6247 and 31.4173 Å and the angles 90.00°, 90.00° and 120.00°. The asymmetric unit holds Rb at (0.0000, 0.0000, 0.0000), Mn at (0.0000, 0.0000, 0.2418), Ni at (0.0000, 0.0000, 0.5000), Br at (0.0000, 0.0000, 0.3184) and Br at (0.0026, 0.3023, 0.5543).

The density comes out at 3.727 g cm⁻³. The calculation puts the total moment at 21.00 Bohr magnetons per cell. As for the energy relative to the elements, uncorrected: -0.6829 eV/atom. The value obtained for the raw total energy is -3.889 eV per atom.



MnNiSe2Br | PBE-GGA | optimized geometry

The structure belongs to space group P4/mmm (No. 123); the cell edges are 4.733, 4.733 and 4.887 Å and the angles 90.00°, 90.00° and 90.00°. The asymmetric unit holds Mn at (0.000, 0.000, 0.000), Ni at (0.500, 0.500, 0.500), Se at (0.000, 0.500, 0.500) and Br at (0.500, 0.500, 0.000).

The density comes out at 5.332 g cm⁻³. The calculation puts the total moment at 4.87 Bohr magnetons per cell. As for the energy relative to the elements, uncorrected: 0.3008 eV/atom. The value obtained for the raw total energy is -4.418 eV per atom.